Entry from the Alexandria database: a geometry-optimized ZrAg2GeCl structure (PBE). Values from VASP.

* crystal system: tetragonal
* Fermi-level density of states: 8.0 states/eV/f.u.
* total DFT energy (no corrections): -3.199 eV/atom
* energy relative to the elements, uncorrected: 4.7 eV/f.u.

Geometry as Quantum ESPRESSO input:
```
&SYSTEM
  ibrav = 0, nat = 5, ntyp = 4
/
ATOMIC_SPECIES
Zr 91.22 Zr.upf
Ag 107.87 Ag.upf
Ge 72.64 Ge.upf
Cl 35.45 Cl.upf
CELL_PARAMETERS angstrom
5.4537 0.0000 0.0000
0.0000 5.4537 0.0000
0.0000 0.0000 5.2824
ATOMIC_POSITIONS angstrom
Zr 0.0000 0.0000 0.0000
Ag 0.0000 2.7268 0.0000
Ag 2.7268 0.0000 0.0000
Ge 0.0000 0.0000 2.6412
Cl 2.7268 2.7268 2.6412
```


Entry from the Alexandria database: a geometry-optimized Tb2DyTc structure (PBE). Values from VASP.

* crystal system: trigonal
* Fermi-level density of states: 5.8 states/eV/f.u.
* energy of formation from the pure elements: 0.29 eV per atom
* excess energy over the best structure of this formula in the dataset: 0.383 eV/atom
* total DFT energy (no corrections): -5.765 eV/atom

Geometry as Quantum ESPRESSO input:
```
&SYSTEM
  ibrav = 0, nat = 4, ntyp = 3
/
ATOMIC_SPECIES
Tb 158.93 Tb.upf
Dy 162.50 Dy.upf
Tc 98.00 Tc.upf
CELL_PARAMETERS angstrom
1.7103 0.9874 10.9616
-1.7103 0.9874 10.9616
0.0000 -1.9749 10.9616
ATOMIC_POSITIONS angstrom
Tb 0.0000 0.0000 3.4430
Tb 0.0000 0.0000 29.4418
Dy 0.0000 0.0000 0.0000
Tc 0.0000 0.0000 16.4424
```